A relaxed Rb4Sm3ThS8 crystal. Source: Alexandria, functional PBE-GGA.

Structure (POSCAR):
```
Rb4Sm3ThS8
1.0
-2.0747 4.3911 -6.7618
6.9701 -3.6882 -4.5337
-5.5070 -5.2201 3.4248
Sm Rb S Th
3 4 8 1
Cartesian
-0.3058 -2.2586 -3.9354
2.4477 0.3514 -5.6478
0.7315 -4.4542 -0.5545
-3.7909 -0.4145 -1.6685
-2.7535 -2.6100 1.7124
0.0000 0.0000 0.0000
-1.0373 2.1956 -3.3809
-1.9884 -4.3873 -4.8264
1.8394 -3.9688 -3.1417
0.7792 -1.7795 -6.5196
0.3293 2.0870 -6.4581
-1.3908 -2.7378 -1.3512
-0.9409 -6.6042 -1.4126
-2.4510 -0.5484 -4.7291
1.3767 -0.1299 -3.0443
3.4851 -1.8441 -2.2669
```

formation energy from raw total energies: -1.793 eV per atom

A relaxed HgSeBr2N crystal. Source: Alexandria, functional PBE-GGA.

Structure (POSCAR):
```
HgSeBr2N
1.0
-0.2008 -2.6510 -4.9600
-2.3187 -4.4827 2.4897
-4.9183 2.0470 -0.8949
Br N Se Hg
2 1 1 1
Cartesian
-0.1004 -1.3255 -2.4800
-1.1594 -2.2413 1.2449
-3.7189 -2.5433 -1.6826
-2.4591 1.0235 -0.4475
0.0000 0.0000 0.0000
```

formation energy from raw total energies: 1.254 eV per atom
E above lowest polymorph: 345.4 meV/atom

A relaxed K2In4SnPb3 crystal. Source: Alexandria, functional PBE-GGA.

Structure (POSCAR):
```
K2In4SnPb3
1.0
5.2814 0.0000 0.0000
0.0000 5.2814 0.0000
0.0000 0.0000 12.3165
Pb K Sn In
3 2 1 4
Cartesian
0.0000 2.6407 1.6240
0.0000 0.0000 6.1583
2.6407 0.0000 10.6926
0.0000 2.6407 9.2109
2.6407 0.0000 3.1056
2.6407 2.6407 6.1583
2.6407 0.0000 7.7204
0.0000 2.6407 4.5962
2.6407 2.6407 0.0000
0.0000 0.0000 0.0000
```

DFT formation energy: -0.948 eV/f.u.

These records have density of states at the Fermi level values of 0.289; 0.732; 0.413 states/eV/atom, in the order they appear.
These records have magnetization values of 0.0; 4.9; 0.0 μB/f.u., in the order they appear.
These records have total DFT energy (no corrections) values of -0.400; -0.135; -0.215 Ry/atom, in the order they appear.